Material: Sr2Pr2Tl7
Method: DFT, PBE-GGA
State: relaxed

```
data_Sr2Pr2Tl7
_symmetry_space_group_name_H-M 'C m m m'
_symmetry_Int_Tables_number 65
_symmetry_space_group_name_Hall '-C 2 2'
_cell_length_a 8.9837
_cell_length_b 11.4869
_cell_length_c 7.7591
_cell_angle_alpha 90.00
_cell_angle_beta 90.00
_cell_angle_gamma 90.00
loop_
_atom_site_label
_atom_site_type_symbol
_atom_site_fract_x
_atom_site_fract_y
_atom_site_fract_z
_atom_site_occupancy
Sr1 Sr 0.1939 0.0000 0.0000 1
Pr1 Pr 0.0000 0.2964 0.5000 1
Tl1 Tl 0.0000 0.0000 0.5000 1
Tl2 Tl 0.0000 0.5000 0.2173 1
Tl3 Tl 0.2500 0.2500 0.2064 1
```

For the magnetization, the calculation gives 0.0 μB/cell. The calculation puts the density of states at the Fermi level at 0.60 states/eV per atom. The calculation puts the electronic total energy at -2.697 eV/atom. For the mass density, the calculation gives 7.830 Mg/m³.

Material: CdTe2Pd7
Method: DFT, PBE-GGA
State: relaxed

```
data_CdTe2Pd7
_symmetry_space_group_name_H-M 'I 4/m m m'
_symmetry_Int_Tables_number 139
_symmetry_space_group_name_Hall '-I 4 2'
_cell_length_a 4.0743
_cell_length_b 4.0743
_cell_length_c 22.4302
_cell_angle_alpha 90.00
_cell_angle_beta 90.00
_cell_angle_gamma 90.00
loop_
_atom_site_label
_atom_site_type_symbol
_atom_site_fract_x
_atom_site_fract_y
_atom_site_fract_z
_atom_site_occupancy
Cd1 Cd 0.0000 0.0000 0.0000 1
Te1 Te 0.0000 0.0000 0.3329 1
Pd1 Pd 0.0000 0.0000 0.5000 1
Pd2 Pd 0.0000 0.5000 0.0900 1
Pd3 Pd 0.0000 0.5000 0.2500 1
```

For the magnetization, the calculation gives 0.0 μB/cell. The value obtained for the raw formation energy is -0.29 eV/atom. The calculation puts the density of states at the Fermi level at 0.53 states/eV per atom. For the mass density, the calculation gives 9.923 Mg/m³.

Question: Which formula does entry 2 have?
Answer: CdTe2Pd7

Question: Which value of density of states at the Fermi level does entry 2 give?
Answer: 0.53 states/eV per atom

Question: Among the records above, which one has the lowest mass density?
Answer: Sr2Pr2Tl7